1.
The following is a PBE calculation of crystalline Cr2PCl at its relaxed geometry, from Alexandria.

The structure in extended XYZ format:
```
4
Lattice="2.9596 0.0000 0.0000 0.0000 3.0292 0.0000 0.0000 0.0000 6.5790" Properties=species:S:1:pos:R:3 pbc="T T T"
Cr 0.0000 0.0000 1.2667
Cr 0.0000 0.0000 5.3123
P 1.4798 1.5146 0.0000
Cl 1.4798 0.0000 3.2895
```

Calculated values
The final energy is -26.932 eV per cell. The density comes out at 4.80 g/cm3. The value obtained for the total magnetization is 4.39 μB per formula unit. As for the space group: Pmmm, No. 47. The calculation puts the polymorph energy (0 for the lowest one) at 203 meV/atom. For the formation energy from raw total energies, the calculation gives -107.1 meV per atom.



2.
The following is a PBE calculation of crystalline CrP2Cl at its relaxed geometry, from Alexandria.

The structure in extended XYZ format:
```
4
Lattice="4.7246 0.0000 0.0000 0.0000 4.7246 0.0000 0.0000 0.0000 2.8495" Properties=species:S:1:pos:R:3 pbc="T T T"
Cr 0.0000 0.0000 0.0000
P 0.0000 2.3623 1.4247
P 2.3623 0.0000 1.4247
Cl 2.3623 2.3623 0.0000
```

Calculated values
The final energy is -19.657 eV per cell. The density comes out at 3.90 g/cm3. The value obtained for the total magnetization is 3.48 μB per formula unit. As for the space group: P4/mmm, No. 123. The calculation puts the polymorph energy (0 for the lowest one) at 937 meV/atom. For the formation energy from raw total energies, the calculation gives 658.2 meV per atom.



3.
The following is a PBE calculation of crystalline Cr2PCl at its relaxed geometry, from Alexandria.

The structure in extended XYZ format:
```
4
Lattice="0.0000 3.2706 3.2706 3.2706 0.0000 3.2706 3.2706 3.2706 0.0000" Properties=species:S:1:pos:R:3 pbc="T T T"
Cr 0.0000 0.0000 0.0000
Cr 1.6353 1.6353 1.6353
P 4.9058 4.9058 4.9058
Cl 3.2706 3.2706 3.2706
```

Calculated values
The final energy is -23.257 eV per cell. The density comes out at 4.04 g/cm3. The value obtained for the total magnetization is 8.00 μB per formula unit. As for the space group: F-43m, No. 216. The calculation puts the polymorph energy (0 for the lowest one) at 1121 meV/atom. For the formation energy from raw total energies, the calculation gives 811.5 meV per atom.



4.
The following is a PBE calculation of crystalline CrP2Cl at its relaxed geometry, from Alexandria.

The structure in extended XYZ format:
```
4
Lattice="3.0313 0.0000 0.0000 0.0000 3.0313 0.0000 0.0000 0.0000 7.4514" Properties=species:S:1:pos:R:3 pbc="T T T"
Cr 0.0000 0.0000 0.0000
P 0.0000 0.0000 2.4128
P 1.5156 1.5156 1.2580
Cl 1.5156 1.5156 5.8074
```

Calculated values
The final energy is -22.282 eV per cell. The density comes out at 3.62 g/cm3. The value obtained for the total magnetization is 1.81 μB per formula unit. As for the space group: P4mm, No. 99. The calculation puts the polymorph energy (0 for the lowest one) at 281 meV/atom. For the formation energy from raw total energies, the calculation gives 1.8 meV per atom.